BeCrN2F: optimized geometry, PBE with a Hubbard U.

The value obtained for the theoretical density is 4093 kg/m3. The raw total energy comes out at -5.91 eV/atom. The density of states at the Fermi level comes out at 0.95 states/eV/f.u. The value obtained for the magnetic moment is 2.64 μB/f.u. The energy above the most stable polymorph in this dataset is 0 meV per atom. Its calculated volume is 43.8 Å³ per cell. Its crystal system is tetragonal.

The space group is P4/mmm (No. 123) and the conventional cell measures 3.512, 3.512 and 3.553 Å, with angles of 90.00, 90.00 and 90.00 degrees. The distinct sites, in fractional coordinates, are Be at (0.000, 0.000, 0.000), Cr at (0.500, 0.500, 0.500), N at (0.000, 0.500, 0.000) and F at (0.000, 0.000, 0.500).